This record from the Alexandria database describes a relaxed structure of ScBeFe2P. The functional is PBE.

Cell lengths 4.258, 4.258, 4.518 Å; angles 90.00, 90.00, 90.00 degrees
Positions (direct):
Sc: 0.000 0.000 0.000
Be: 0.000 0.000 0.500
Fe: 0.000 0.500 0.000
Fe: 0.500 0.000 0.000
P: 0.500 0.500 0.500

Output
* theoretical density: 3.99 Mg/m³
* crystal system: tetragonal
* E_form: 1.850 eV per atom